The following is a GGA-PBE calculation of a geometry-optimized ZrTaBeZn2 structure, from the Alexandria database.

The structure in POSCAR format:
```
ZrTaBeZn2
1.0
-3.523 -1.876 -1.290
2.224 -1.553 -3.815
1.101 -3.484 2.060
Be Zn Zr Ta
1 2 1 1
direct
0.000 0.000 0.000
0.000 0.000 0.500
0.500 0.000 0.000
0.000 0.500 0.000
0.500 0.500 0.500
```

Formation energy from the elements (eV per formula unit): 2.134
Crystal system: tetragonal
Space group: P4/mmm
DOS(E_F) (states/eV/atom): 0.479